First-principles (PBE-GGA) data for crystalline Pr2Zn15Au2 at its relaxed geometry, as listed in the Alexandria database.

abc: 9.1289 9.1289 13.4164
angles: 90.00 90.00 120.00
Space group R-3m (No. 166, hexagonal axes)
Inequivalent atoms, fractional coordinates:
Pr (0.0000, 0.0000, 0.1597)
Zn (0.0000, 0.2918, 0.5000)
Zn (0.0000, 0.5000, 0.0000)
Zn (0.0085, 0.5042, 0.6538)
Au (0.0000, 0.0000, 0.3912)

Values from the calculation:
ρ: 8.52 g/cm3
E: -2.15 eV per atom
DFT formation energy: -0.298 eV per atom